# Pr4FeAs4Ru3O4 | Alexandria | GGA+U | optimized geometry
# Raw total energy = -7.4039 eV per atom
# Calculated volume = 291 Å³ per cell
data_Pr4FeAs4Ru3O4
_cell_length_a 4.150
_cell_length_b 4.150
_cell_length_c 16.902
_cell_angle_alpha 90.00
_cell_angle_beta 90.00
_cell_angle_gamma 90.00
_space_group_name_H-M_alt 'P -4 m 2'
_space_group_IT_number 115
loop_
_space_group_symop_operation_xyz
'x,y,z'
'y,-x,-z'
'-x,-y,z'
'-y,x,-z'
'-x,y,z'
'-y,-x,-z'
'x,-y,z'
'y,x,-z'
loop_
_atom_site_label
_atom_site_type_symbol
_atom_site_fract_x
_atom_site_fract_y
_atom_site_fract_z
Pr1 Pr 0.000 0.500 0.178
Pr2 Pr 0.000 0.500 0.684
Fe1 Fe 0.000 0.000 0.500
As1 As 0.000 0.500 0.422
As2 As 0.000 0.500 0.923
Ru1 Ru 0.000 0.000 0.000
Ru2 Ru 0.500 0.500 0.000
Ru3 Ru 0.500 0.500 0.500
O1 O 0.000 0.000 0.248
O2 O 0.500 0.500 0.249